VASP calculation (PBE) on a relaxed structure of LaHo3TmSc.

Lattice parameters (Å, degrees): 4.951 7.856 10.001 90.00 90.00 108.37
Positions (direct):
1 La 0.497 0.993 0.750
2 La 0.503 0.007 0.250
3 Ho 0.332 0.663 0.001
4 Ho 0.332 0.663 0.499
5 Ho 0.668 0.337 0.501
6 Ho 0.171 0.343 0.750
7 Ho 0.829 0.657 0.250
8 Ho 0.668 0.337 0.999
9 Tm 0.000 0.000 0.000
10 Tm 0.000 0.000 0.500
11 Sc 0.830 0.660 0.750
12 Sc 0.170 0.340 0.250

Results
Total energy, eV per atom: -4.86
Space group: Cmcm, No. 63
Calculated volume, Å³/f.u.: 184.59

---

VASP calculation (PBE) on a relaxed structure of LaLuZn.

Lattice parameters (Å, degrees): 3.873 4.997 4.997 120.00 90.00 90.00
Positions (direct):
1 La 0.666 0.667 0.333
2 Lu 0.165 0.000 0.000
3 Zn 0.169 0.333 0.667

Results
Total energy, eV per atom: -3.64
Distance to the lowest polymorph of the same formula, meV per atom: 127.2
Space group: P3m1, No. 156
Calculated volume, Å³/f.u.: 83.76

---

VASP calculation (PBE) on a relaxed structure of CeAgPd.

Lattice parameters (Å, degrees): 4.737 4.737 4.737 60.00 60.00 60.00
Site moments in Bohr magnetons follow the coordinates.
Positions (direct):
1 Ce 0.500 0.500 0.500  0.88
2 Ag 0.000 0.000 0.000  0.01
3 Pd 0.250 0.250 0.250  -0.02

Results
Total energy, eV per atom: -4.98
Distance to the lowest polymorph of the same formula, meV per atom: 151.7
Space group: F-43m, No. 216
Calculated volume, Å³/f.u.: 75.17

---

VASP calculation (PBE) on a relaxed structure of Tl2CoRu.

Lattice parameters (Å, degrees): 4.582 4.582 3.303 90.00 90.00 90.03
Site moments in Bohr magnetons follow the coordinates.
Positions (direct):
1 Tl 0.000 0.000 0.000  -0.02
2 Tl 0.500 0.500 0.000  -0.02
3 Co 0.500 0.000 0.500  0.72
4 Ru 0.000 0.500 0.500  -0.21

Results
Total energy, eV per atom: -4.67
Distance to the lowest polymorph of the same formula, meV per atom: 147.0
Space group: P4/mmm, No. 123
Calculated volume, Å³/f.u.: 69.36